{"formula": "Ca2AlNi", "functional": "GGA-PBEsol", "state": "relaxed", "spacegroup": "Imm2", "formation_energy_ev_per_atom": -0.120, "cell": [[3.586, 0.000, 0.000], [0.000, 5.099, 0.000], [0.000, 0.000, 9.786]], "species": ["Ca", "Ca", "Ca", "Ca", "Al", "Al", "Ni", "Ni"], "fractional_positions": [[0.000, 0.000, 0.000], [0.000, 0.500, 0.196], [0.500, 0.000, 0.696], [0.500, 0.500, 0.500], [0.000, 0.000, 0.404], [0.500, 0.500, 0.904], [0.000, 0.500, 0.753], [0.500, 0.000, 0.253]]}